DFT (GGA+U) results for crystalline LiMoOF2 at its relaxed geometry.

Computed properties:
Energy above the lowest structure with this stoichiometry: 0.000 eV per atom
Crystal system: tetragonal

Cell and atoms, written as CIF:
```
data_LiMoOF2
_chemical_formula_sum 'Li1 Mo1 O1 F2'
_cell_length_a 4.216
_cell_length_b 4.216
_cell_length_c 4.173
_cell_angle_alpha 90.00
_cell_angle_beta 90.00
_cell_angle_gamma 90.00
_symmetry_space_group_name_H-M 'P 4/m m m'
_symmetry_Int_Tables_number 123
_symmetry_space_group_name_Hall '-P 4 2'
loop_
_atom_site_label
_atom_site_type_symbol
_atom_site_fract_x
_atom_site_fract_y
_atom_site_fract_z
_atom_site_occupancy
Li1 Li 0.000 0.000 0.000 1
Mo1 Mo 0.500 0.500 0.500 1
O1 O 0.500 0.500 0.000 1
F1 F 0.000 0.500 0.500 1
```